[1]
Entry from Alexandria: a relaxed structure of Pm3Nd2Si4 (GGA-PBE).

Summary:
The value obtained for the total energy is -0.42276 Ry per atom. The value obtained for the density of states at the Fermi level is 1.07 states/eV per atom. For the offset from the most stable computed form, the calculation gives 0.000 eV per formula unit. Its volume is 25.7 Å³/atom.

abc: 7.8395 7.9006 7.7475
angles: 90.00 105.28 90.00
Closest atoms and distances in Å follow each position.
Space group P2_1/c (No. 14)
Asymmetric unit:
1 Pm 0.0000 0.0000 0.0000 x2  6 Si 3.12-3.17, 2 Pm 3.46
2 Pm 0.2596 0.1827 0.7450 x4  6 Si 2.93-3.07
3 Nd 0.2945 0.6845 0.9023 x4  6 Si 3.14-3.32
4 Si 0.0064 0.6153 0.1172 x4  1 Si 2.55
5 Si 0.4170 0.0255 0.1111 x4  1 Si 2.45

***

[2]
Entry from Alexandria: a relaxed structure of Pm3Nd3Si4 (GGA-PBE).

Summary:
The value obtained for the total energy is -0.41600 Ry per atom. The value obtained for the density of states at the Fermi level is 1.13 states/eV per atom. Its volume is 26.0 Å³/atom.

abc: 4.3104 10.9566 11.0054
angles: 90.00 90.00 90.00
Closest atoms and distances in Å follow each position.
Space group Amm2 (No. 38)
Asymmetric unit:
1 Pm 0.0000 0.0000 0.0000 x2  6 Si 3.14-3.16
2 Pm 0.0000 0.1764 0.6779 x4  6 Si 3.14-3.17
3 Nd 0.0000 0.0000 0.3531 x2  6 Si 3.16-3.20
4 Nd 0.5000 0.2488 0.4269 x4  4 Si 3.13-3.15
5 Si 0.5000 0.0000 0.5676 x2  1 Si 2.45
6 Si 0.5000 0.0000 0.7898 x2  1 Si 2.45
7 Si 0.5000 0.1116 0.1755 x4  1 Si 2.45

***

[3]
Entry from Alexandria: a relaxed structure of PmNd2Si (GGA-PBE).

Summary:
The value obtained for the total energy is -0.35969 Ry per atom. The value obtained for the density of states at the Fermi level is 1.56 states/eV per atom. For the offset from the most stable computed form, the calculation gives 1.576 eV per formula unit. Its volume is 33.4 Å³/atom.

abc: 3.7315 3.7315 33.2061
angles: 90.00 90.00 120.00
Closest atoms and distances in Å follow each position.
Space group R-3m (No. 166, hexagonal axes)
Asymmetric unit:
1 Pm 0.0000 0.0000 0.0000 x3  2 Nd 3.59, 6 Pm 3.73
2 Nd 0.0000 0.0000 0.1082 x6  3 Si 2.90
3 Si 0.0000 0.0000 0.5000 x3  6 Nd 2.90